[1]
Er3HgPb (GGA-PBE, optimized geometry); calculated formation energy = -30 kJ/mol of atoms; raw total energy = -3.855 eV/atom; M_tot = 0.0 μB per cell
1.0
6.126 -5.645 0.000
6.126 5.645 0.000
-0.012 0.000 8.509
Er Hg Pb
12 4 4
direct
0.002 0.205 0.417 Er
0.077 0.423 0.797 Er
0.205 0.002 0.917 Er
0.294 0.497 0.417 Er
0.423 0.077 0.297 Er
0.497 0.294 0.917 Er
0.503 0.706 0.083 Er
0.577 0.923 0.703 Er
0.706 0.503 0.583 Er
0.795 0.998 0.083 Er
0.923 0.577 0.203 Er
0.998 0.795 0.583 Er
0.186 0.312 0.122 Hg
0.312 0.186 0.622 Hg
0.688 0.814 0.378 Hg
0.814 0.688 0.878 Hg
0.151 0.849 0.250 Pb
0.351 0.649 0.750 Pb
0.649 0.351 0.250 Pb
0.849 0.151 0.750 Pb

[2]
Er2Hg2Pb3 (GGA-PBE, optimized geometry); calculated formation energy = -21 kJ/mol of atoms; raw total energy = -3.192 eV/atom; M_tot = 0.0 μB per cell
1.0
13.536 0.000 0.000
0.000 3.725 0.000
-2.526 0.000 7.683
Er Hg Pb
4 4 6
direct
0.125 0.000 0.432 Er
0.375 0.500 0.568 Er
0.625 0.500 0.432 Er
0.875 0.000 0.568 Er
0.074 0.500 0.718 Hg
0.426 0.000 0.282 Hg
0.574 0.000 0.718 Hg
0.926 0.500 0.282 Hg
0.000 0.000 0.000 Pb
0.218 0.500 0.167 Pb
0.282 0.000 0.833 Pb
0.500 0.500 0.000 Pb
0.718 0.000 0.167 Pb
0.782 0.500 0.833 Pb

[3]
ErHgPb (GGA-PBE, optimized geometry); calculated formation energy = -18 kJ/mol of atoms; raw total energy = -3.041 eV/atom; M_tot = 0.0 μB per cell
1.0
7.067 0.000 0.000
0.000 7.067 0.000
0.000 0.000 7.067
Er Hg Pb
4 4 4
direct
0.000 0.000 0.000 Er
0.000 0.500 0.500 Er
0.500 0.000 0.500 Er
0.500 0.500 0.000 Er
0.250 0.250 0.250 Hg
0.250 0.750 0.750 Hg
0.750 0.250 0.750 Hg
0.750 0.750 0.250 Hg
0.000 0.000 0.500 Pb
0.000 0.500 0.000 Pb
0.500 0.000 0.000 Pb
0.500 0.500 0.500 Pb

[4]
Er6Hg4Pb7 (GGA-PBE, optimized geometry); calculated formation energy = -10 kJ/mol of atoms; raw total energy = -3.316 eV/atom; M_tot = 0.0 μB per cell
1.0
-4.968 4.968 4.968
4.968 -4.968 4.968
4.968 4.968 -4.968
Er Hg Pb
6 4 7
direct
0.000 0.295 0.295 Er
0.000 0.705 0.705 Er
0.295 0.000 0.295 Er
0.295 0.295 0.000 Er
0.705 0.000 0.705 Er
0.705 0.705 0.000 Er
0.000 0.000 0.500 Hg
0.000 0.500 0.000 Hg
0.500 0.000 0.000 Hg
0.500 0.500 0.500 Hg
0.000 0.000 0.000 Pb
0.250 0.500 0.750 Pb
0.250 0.750 0.500 Pb
0.500 0.250 0.750 Pb
0.500 0.750 0.250 Pb
0.750 0.250 0.500 Pb
0.750 0.500 0.250 Pb